# 1
A plane-wave DFT calculation with GGA-PBE was carried out for a geometry-optimized Ac2La5Tb structure.

Cell and atoms, written as POSCAR:
```
Ac2La5Tb
1.0
-5.2696 0.9491 0.0161
-1.0216 -5.5891 -4.9279
-1.7166 -9.7244 11.3851
Tb La Ac
2 10 4
Direct
0.0000 0.0000 0.5000 Tb
0.0000 0.5000 0.0000 Tb
0.0000 0.5030 0.2482 La
0.5000 0.7481 0.6244 La
0.5000 0.2481 0.8756 La
0.0000 0.5000 0.5000 La
0.0000 0.0030 0.2518 La
0.5000 0.2519 0.3756 La
0.5000 0.7519 0.1244 La
0.0000 0.4970 0.7518 La
0.0000 0.0000 0.0000 La
0.0000 0.9970 0.7482 La
0.5000 0.7472 0.8759 Ac
0.5000 0.2472 0.6241 Ac
0.5000 0.2528 0.1241 Ac
0.5000 0.7528 0.3759 Ac
```

Summary:
* calculated formation energy: 0.019 eV per atom

***

# 2
A plane-wave DFT calculation with GGA-PBE was carried out for a geometry-optimized PuTh4Tl3 structure.

Cell and atoms, written as POSCAR:
```
PuTh4Tl3
1.0
-5.2161 0.2692 -1.6503
-1.6264 -2.0775 4.8016
2.8634 8.1383 1.3676
Th Pu Tl
4 1 3
Direct
0.6205 0.6205 0.2411 Th
0.3795 0.3795 0.7589 Th
0.8795 0.8794 0.7589 Th
0.1205 0.1206 0.2411 Th
0.5000 0.0000 0.0000 Pu
0.0000 0.5000 0.0000 Tl
0.7454 0.2452 0.4907 Tl
0.2546 0.7548 0.5093 Tl
```

Summary:
* calculated formation energy: -0.049 eV per atom

***

# 3
A plane-wave DFT calculation with GGA-PBE was carried out for a geometry-optimized ZnCu2Br structure.

Cell and atoms, written as POSCAR:
```
ZnCu2Br
1.0
-0.9810 -2.3814 2.0871
0.6785 -2.2923 -2.2966
5.7358 -0.4682 2.1618
Zn Br Cu
1 1 2
Direct
0.5000 0.5000 0.2500 Zn
0.5000 0.5000 0.7500 Br
0.0000 0.0000 0.4429 Cu
0.0000 0.0000 0.0571 Cu
```

Summary:
* ΔE_f (raw): 0.1804 eV per atom

***

# 4
A plane-wave DFT calculation with GGA-PBE was carried out for a geometry-optimized Ta6NbGa structure.

Cell and atoms, written as POSCAR:
```
Ta6NbGa
1.0
7.4253 0.0111 0.2521
3.7025 6.4279 -0.0392
3.6065 2.2248 3.0976
Ta Nb Ga
6 1 1
Direct
0.2522 0.9996 0.2485 Ta
0.4996 0.2521 0.2484 Ta
0.5004 0.7479 0.7516 Ta
0.9992 0.4998 0.2491 Ta
0.7478 0.0004 0.7515 Ta
0.0008 0.5002 0.7509 Ta
0.5000 0.5000 0.5000 Nb
0.0000 0.0000 0.0000 Ga
```

Summary:
* calculated formation energy: -0.052 eV per atom

***

E values, unit eV/atom, following the record order: -4.666; -6.438; -2.604; -10.579.